This record from Alexandria via LeMat-Bulk describes an optimized crystal structure of CuAg2P2. The functional is PBE-GGA.

abc: 5.9634 5.9634 4.8987
angles: 90.00 90.00 90.00
With the nearest neighbours (Å) after each atom.
Space group P4/mbm (No. 127)
Symmetry-distinct sites (fractional):
Cu 0.0000 0.0000 0.0000 (multiplicity 2)  4 P 2.33
Ag 0.1866 0.3134 0.5000 (multiplicity 4)  2 P 2.49
P 0.1323 0.3677 0.0000 (multiplicity 4)  1 P 2.23, 2 Cu 2.33, 2 Ag 2.49

Calculated density ... 6.51 g/cm3
Uncorrected energy ... -0.2957 Ry per atom
D(E_F) ... 3.264 states/eV/cell